w.
{"formula": "Y2BeAs", "functional": "PBE-GGA", "state": "relaxed", "total_magnetization_mub_per_cell": 0.00, "space_group": "P4/mmm, No. 123", "lattice": [[4.083, 0.000, 0.000], [0.000, 4.081, 0.000], [0.000, 0.000, 5.766]], "species": ["Y", "Y", "Be", "As"], "frac_coords": [[0.000, 0.000, 0.875], [0.500, 0.500, 0.375], [0.500, 0.500, 0.875], [0.000, 0.000, 0.375]]}

***

x.
{"formula": "Y2BeAs", "functional": "PBE-GGA", "state": "relaxed", "total_magnetization_mub_per_cell": 0.00, "space_group": "Cmm2, No. 35", "lattice": [[-3.229, 1.342, 0.053], [-0.043, -3.080, 1.655], [1.628, 3.650, 6.835]], "species": ["Y", "Y", "Be", "As"], "frac_coords": [[0.000, 0.000, 0.943], [0.500, 0.500, 0.308], [0.500, 0.500, 0.688], [0.000, 0.000, 0.561]]}

***

y.
{"formula": "Y2BeAs", "functional": "PBE-GGA", "state": "relaxed", "total_magnetization_mub_per_cell": 0.00, "space_group": "I-42d, No. 122", "lattice": [[-6.621, 3.352, -0.399], [-1.178, -3.119, -6.642], [-5.395, -2.650, -1.956]], "species": ["Y", "Y", "Y", "Y", "Be", "Be", "As", "As"], "frac_coords": [[0.618, 0.125, 0.250], [0.132, 0.625, 0.250], [0.375, 0.382, 0.750], [0.875, 0.868, 0.750], [0.500, 0.500, 0.000], [0.250, 0.750, 0.500], [0.000, 0.000, 0.000], [0.750, 0.250, 0.500]]}

***

Least stable: x

***

w.
{"formula": "BeZnAs2", "functional": "PBE-GGA", "state": "relaxed", "total_magnetization_mub_per_cell": 0.00, "space_group": "Amm2, No. 38", "lattice": [[4.937, 0.000, 0.000], [0.000, 4.145, -0.012], [0.000, 2.038, 3.608]], "species": ["Be", "As", "As", "Zn"], "frac_coords": [[0.000, 0.529, 0.528], [0.000, 0.867, 0.867], [0.500, 0.386, 0.387], [0.500, 0.718, 0.718]]}

***

x.
{"formula": "BeZnAs2", "functional": "PBE-GGA", "state": "relaxed", "total_magnetization_mub_per_cell": 0.00, "space_group": "F-43m, No. 216", "lattice": [[-0.320, 4.500, -0.062], [-3.047, 2.009, -2.653], [-3.591, 2.032, 1.826]], "species": ["Be", "As", "As", "Zn"], "frac_coords": [[0.500, 0.500, 0.500], [0.000, 0.000, 0.000], [0.250, 0.250, 0.250], [0.750, 0.750, 0.750]]}

***

Least stable: x

***

w.
{"formula": "BeZnAs2", "functional": "PBE-GGA", "state": "relaxed", "total_magnetization_mub_per_cell": 0.00, "space_group": "Cmmm, No. 65", "lattice": [[-2.742, -3.156, 1.286], [3.961, -1.571, 0.988], [-0.207, 1.473, 3.172]], "species": ["Be", "As", "As", "Zn"], "frac_coords": [[0.500, 0.000, 0.500], [0.000, 0.000, 0.000], [0.500, 0.500, 0.000], [0.000, 0.500, 0.500]]}

***

x.
{"formula": "BeZnAs2", "functional": "PBE-GGA", "state": "relaxed", "total_magnetization_mub_per_cell": 0.00, "space_group": "C2/m, No. 12", "lattice": [[-0.140, -3.550, -0.236], [1.125, -2.097, 2.649], [-5.223, -1.690, 3.143]], "species": ["Be", "As", "As", "Zn"], "frac_coords": [[0.750, 0.750, 0.750], [0.010, 0.010, 0.964], [0.490, 0.490, 0.536], [0.250, 0.250, 0.250]]}

***

y.
{"formula": "BeZnAs2", "functional": "PBE-GGA", "state": "relaxed", "total_magnetization_mub_per_cell": 0.00, "space_group": "I-4m2, No. 119", "lattice": [[5.588, -0.007, 0.000], [3.233, 4.557, 0.000], [-4.411, -2.275, 2.568]], "species": ["Be", "As", "As", "Zn"], "frac_coords": [[0.500, 0.500, 0.000], [0.000, 0.000, 0.000], [0.250, 0.750, 0.500], [0.750, 0.250, 0.500]]}

***

z.
{"formula": "BeZnAs2", "functional": "PBE-GGA", "state": "relaxed", "total_magnetization_mub_per_cell": 0.00, "space_group": "Immm, No. 71", "lattice": [[4.851, -0.051, 0.040], [0.951, 4.757, -0.040], [-2.263, -3.139, 2.925]], "species": ["Be", "As", "As", "Zn"], "frac_coords": [[0.750, 0.250, 0.500], [0.949, 0.949, 0.000], [0.551, 0.551, 0.000], [0.250, 0.750, 0.500]]}

***

Least stable: w

***

w.
{"formula": "BeZnAs2", "functional": "PBE-GGA", "state": "relaxed", "total_magnetization_mub_per_cell": 0.00, "space_group": "I-42d, No. 122", "lattice": [[5.577, 0.000, 0.000], [0.000, 5.577, 0.000], [2.789, 2.789, 5.105]], "species": ["Be", "Be", "As", "As", "As", "As", "Zn", "Zn"], "frac_coords": [[0.500, 0.500, 0.000], [0.250, 0.750, 0.500], [0.586, 0.125, 0.250], [0.164, 0.625, 0.250], [0.375, 0.414, 0.750], [0.875, 0.836, 0.750], [0.000, 0.000, 0.000], [0.750, 0.250, 0.500]]}

***

x.
{"formula": "BeZnAs2", "functional": "PBE-GGA", "state": "relaxed", "total_magnetization_mub_per_cell": 0.00, "space_group": "Pmm2, No. 25", "lattice": [[2.902, 0.000, 0.000], [0.000, 3.658, 0.000], [0.000, 0.000, 7.126]], "species": ["Be", "As", "As", "Zn"], "frac_coords": [[0.000, 0.000, 0.529], [0.000, 0.000, 0.883], [0.500, 0.500, 0.370], [0.500, 0.500, 0.718]]}

***

Least stable: x

***

w.
{"formula": "BeZnAs2", "functional": "PBE-GGA", "state": "relaxed", "total_magnetization_mub_per_cell": 0.00, "space_group": "C2/m, No. 12", "lattice": [[-0.723, -1.047, -4.228], [0.849, -3.930, 1.824], [-3.434, -2.052, -0.086]], "species": ["Be", "As", "As", "Zn"], "frac_coords": [[0.500, 0.000, 0.500], [0.000, 0.000, 0.000], [0.500, 0.500, 0.000], [0.000, 0.500, 0.500]]}

***

x.
{"formula": "BeZnAs2", "functional": "PBE-GGA", "state": "relaxed", "total_magnetization_mub_per_cell": 0.00, "space_group": "R3m, No. 160", "lattice": [[0.019, -3.372, -8.891], [-1.102, -5.724, -7.512], [-2.875, -3.524, -8.351]], "species": ["Be", "As", "As", "Zn"], "frac_coords": [[0.496, 0.496, 0.496], [0.019, 0.019, 0.019], [0.223, 0.223, 0.223], [0.761, 0.761, 0.761]]}

***

y.
{"formula": "BeZnAs2", "functional": "PBE-GGA", "state": "relaxed", "total_magnetization_mub_per_cell": 0.00, "space_group": "P4/mmm, No. 123", "lattice": [[-1.932, -1.225, -3.568], [-3.355, -1.273, 2.254], [-1.461, 3.265, -0.330]], "species": ["Be", "As", "As", "Zn"], "frac_coords": [[0.500, 0.000, 0.500], [0.000, 0.000, 0.000], [0.500, 0.500, 0.000], [0.000, 0.500, 0.500]]}

***

Least stable: y

***

w.
{"formula": "BeZnAs2", "functional": "PBE-GGA", "state": "relaxed", "total_magnetization_mub_per_cell": 0.00, "space_group": "P2/m, No. 10", "lattice": [[3.523, 0.000, 0.000], [0.000, 4.011, -0.006], [0.000, 1.402, 4.929]], "species": ["Be", "As", "As", "Zn"], "frac_coords": [[0.500, 0.250, 0.250], [0.000, 0.012, 0.051], [0.000, 0.488, 0.449], [0.500, 0.750, 0.750]]}

***

x.
{"formula": "BeZnAs2", "functional": "PBE-GGA", "state": "relaxed", "total_magnetization_mub_per_cell": 0.00, "space_group": "Cmmm, No. 65", "lattice": [[3.041, 0.015, 0.000], [-0.882, 2.910, 0.000], [0.000, 0.000, 7.539]], "species": ["Be", "As", "As", "Zn"], "frac_coords": [[0.500, 0.500, 0.250], [0.000, 0.000, 0.051], [0.000, 0.000, 0.449], [0.500, 0.500, 0.750]]}

***

Least stable: x

***

w.
{"formula": "BeZnAs2", "functional": "PBE-GGA", "state": "relaxed", "total_magnetization_mub_per_cell": 0.00, "space_group": "Cmm2, No. 35", "lattice": [[2.725, -0.022, 0.000], [-0.266, 2.712, 0.000], [0.000, 0.000, 9.030]], "species": ["Be", "As", "As", "Zn"], "frac_coords": [[0.000, 0.000, 0.515], [0.000, 0.000, 0.958], [0.500, 0.500, 0.324], [0.500, 0.500, 0.703]]}

***

x.
{"formula": "BeZnAs2", "functional": "PBE-GGA", "state": "relaxed", "total_magnetization_mub_per_cell": 0.00, "space_group": "Fm-3m, No. 225", "lattice": [[-2.294, -0.478, 3.841], [-4.498, 0.087, -0.041], [-2.330, -3.770, 0.775]], "species": ["Be", "As", "As", "Zn"], "frac_coords": [[0.000, 0.000, 0.000], [0.250, 0.250, 0.250], [0.750, 0.750, 0.750], [0.500, 0.500, 0.500]]}

***

Least stable: x

***

w.
{"formula": "BeZnAs2", "functional": "PBE-GGA", "state": "relaxed", "total_magnetization_mub_per_cell": 0.00, "space_group": "P4mm, No. 99", "lattice": [[-1.921, -1.268, -1.472], [-1.129, -0.956, 2.297], [-5.197, 7.307, 0.487]], "species": ["Be", "As", "As", "Zn"], "frac_coords": [[0.000, 0.000, 0.514], [0.000, 0.000, 0.957], [0.500, 0.500, 0.324], [0.500, 0.500, 0.705]]}

***

x.
{"formula": "BeZnAs2", "functional": "PBE-GGA", "state": "relaxed", "total_magnetization_mub_per_cell": 0.00, "space_group": "P4/mmm, No. 123", "lattice": [[-1.630, -1.318, -2.078], [1.791, -2.345, 0.084], [-4.299, -3.092, 5.332]], "species": ["Be", "As", "As", "Zn"], "frac_coords": [[0.500, 0.500, 0.250], [0.000, 0.000, 0.049], [0.000, 0.000, 0.451], [0.500, 0.500, 0.750]]}

***

y.
{"formula": "BeZnAs2", "functional": "PBE-GGA", "state": "relaxed", "total_magnetization_mub_per_cell": 0.00, "space_group": "I4/mmm, No. 139", "lattice": [[4.659, -0.027, 0.000], [0.793, 4.591, 0.000], [-2.726, -2.282, 3.011]], "species": ["Be", "As", "As", "Zn"], "frac_coords": [[0.250, 0.750, 0.500], [0.000, 0.000, 0.000], [0.500, 0.500, 0.000], [0.750, 0.250, 0.500]]}

***

Least stable: y